DFT (PBE) results for an optimized crystal structure of TaSn2SeBr.

For the total energy, the calculation gives -3.573 eV per atom. The value obtained for the density is 6472 kg/m3. Its space-group type is No. 123. Its calculated volume is 29.62 A^3/atom.

a b c (Å): 5.3667 5.3667 5.1425
angles (deg): 90.00 90.00 90.00
Last column: nearest neighbours and their distance in Å.
Positions (direct):
Ta (0.0000, 0.0000, 0.0000)  8 Sn 3.72, 4 Se 3.79
Sn (0.0000, 0.5000, 0.5000)  2 Br 2.68
Sn (0.5000, 0.0000, 0.5000)  2 Br 2.68
Se (0.5000, 0.5000, 0.0000)  2 Br 2.57
Br (0.5000, 0.5000, 0.5000)  2 Se 2.57, 4 Sn 2.68


DFT (PBE) results for an optimized crystal structure of TcSnSeBr2.

For the total energy, the calculation gives -4.072 eV per atom. The value obtained for the density is 5812 kg/m3. Its space-group type is No. 123. Its calculated volume is 26.03 A^3/atom.

a b c (Å): 5.2191 5.2191 4.7778
angles (deg): 90.00 90.00 90.00
Last column: nearest neighbours and their distance in Å.
Positions (direct):
Tc (0.0000, 0.0000, 0.0000)  2 Se 2.39, 4 Br 2.61
Sn (0.5000, 0.5000, 0.5000)  8 Br 3.54, 4 Se 3.69
Se (0.0000, 0.0000, 0.5000)  2 Tc 2.39
Br (0.0000, 0.5000, 0.0000)  2 Tc 2.61
Br (0.5000, 0.0000, 0.0000)  2 Tc 2.61


DFT (PBE) results for an optimized crystal structure of TcSnSeBr2.

For the total energy, the calculation gives -3.918 eV per atom. The value obtained for the density is 5658 kg/m3. Its space-group type is No. 123. Its calculated volume is 26.73 A^3/atom.

a b c (Å): 4.8240 4.8240 5.7442
angles (deg): 90.00 90.00 90.00
Last column: nearest neighbours and their distance in Å.
Positions (direct):
Tc (0.0000, 0.0000, 0.0000)  4 Br 2.41
Sn (0.0000, 0.0000, 0.5000)  2 Tc 2.87
Se (0.5000, 0.5000, 0.5000)  4 Sn 3.41, 8 Br 3.75
Br (0.0000, 0.5000, 0.0000)  2 Tc 2.41
Br (0.5000, 0.0000, 0.0000)  2 Tc 2.41


DFT (PBE) results for an optimized crystal structure of SnTeSeBr2.

For the total energy, the calculation gives -2.655 eV per atom. The value obtained for the density is 4794 kg/m3. Its space-group type is No. 123. Its calculated volume is 33.60 A^3/atom.

a b c (Å): 5.4485 5.4485 5.6595
angles (deg): 90.00 90.00 90.00
Last column: nearest neighbours and their distance in Å.
Positions (direct):
Sn (0.0000, 0.0000, 0.0000)  4 Br 2.72, 2 Se 2.83
Te (0.5000, 0.5000, 0.5000)  4 Se 3.85, 8 Br 3.93
Se (0.0000, 0.0000, 0.5000)  2 Sn 2.83
Br (0.0000, 0.5000, 0.0000)  2 Sn 2.72
Br (0.5000, 0.0000, 0.0000)  2 Sn 2.72


DFT (PBE) results for an optimized crystal structure of TlSnSe2Br.

For the total energy, the calculation gives -3.265 eV per atom. The value obtained for the density is 5730 kg/m3. Its space-group type is No. 123. Its calculated volume is 32.51 A^3/atom.

a b c (Å): 5.3077 5.3077 5.7702
angles (deg): 90.00 90.00 90.00
Last column: nearest neighbours and their distance in Å.
Positions (direct):
Tl (0.0000, 0.0000, 0.0000)  4 Br 3.75, 8 Se 3.92
Sn (0.5000, 0.5000, 0.5000)  4 Se 2.65, 2 Br 2.89
Se (0.0000, 0.5000, 0.5000)  2 Sn 2.65
Se (0.5000, 0.0000, 0.5000)  2 Sn 2.65
Br (0.5000, 0.5000, 0.0000)  2 Sn 2.89


DFT (PBE) results for an optimized crystal structure of TlSnSeBr2.

For the total energy, the calculation gives -3.124 eV per atom. The value obtained for the density is 5377 kg/m3. Its space-group type is No. 123. Its calculated volume is 34.71 A^3/atom.

a b c (Å): 5.7340 5.7340 5.2778
angles (deg): 90.00 90.00 90.00
Last column: nearest neighbours and their distance in Å.
Positions (direct):
Tl (0.0000, 0.0000, 0.0000)  8 Br 3.90, 4 Se 4.05
Sn (0.5000, 0.5000, 0.5000)  2 Se 2.64, 4 Br 2.87
Se (0.5000, 0.5000, 0.0000)  2 Sn 2.64
Br (0.0000, 0.5000, 0.5000)  2 Sn 2.87
Br (0.5000, 0.0000, 0.5000)  2 Sn 2.87